[1]
## SiOsF2 (PBE-GGA)

Data for crystalline SiOsF2 at its relaxed geometry.

ΔE_f (raw) = 0.648 eV/atom
Polymorph energy (0 for the lowest one) = 1.467 eV/atom

a b c (Å): 5.3699 5.3699 8.4662
angles (deg): 90.00 90.00 90.00
Closest atoms and distances in Å follow each position.
Space group I-42d (No. 122)
One atom of each set of equivalent atoms:
Si 0.0000 0.0000 0.0000 x4  4 F 2.11
Os 0.0000 0.0000 0.5000 x4  4 F 2.24
F 0.2304 0.2500 0.1250 x8  2 Si 2.11, 2 Os 2.24

=====

[2]
## Mn2TePdCl (PBE-GGA)

Data for crystalline Mn2TePdCl at its relaxed geometry.

ΔE_f (raw) = 0.445 eV/atom

a b c (Å): 5.1941 5.1941 4.9706
angles (deg): 90.00 90.00 90.00
Closest atoms and distances in Å follow each position.
Space group P4/mmm (No. 123)
One atom of each set of equivalent atoms:
Mn 0.0000 0.5000 0.0000 x2  2 Te 2.60
Te 0.0000 0.0000 0.0000 x1  2 Pd 2.49, 4 Mn 2.60
Pd 0.0000 0.0000 0.5000 x1  2 Te 2.49
Cl 0.5000 0.5000 0.5000 x1  8 Mn 3.59, 4 Pd 3.67

=====

[3]
## VSeCl3 (PBE-GGA)

Data for crystalline VSeCl3 at its relaxed geometry.

ΔE_f (raw) = -0.305 eV/atom

a b c (Å): 4.8725 4.8725 4.8725
angles (deg): 90.00 90.00 90.00
Closest atoms and distances in Å follow each position.
Space group Pm-3m (No. 221)
One atom of each set of equivalent atoms:
V 0.0000 0.0000 0.0000 x1  6 Cl 2.44
Se 0.5000 0.5000 0.5000 x1  12 Cl 3.45
Cl 0.0000 0.0000 0.5000 x3  2 V 2.44

=====

[4]
## GaSnRuRh (PBE-GGA)

Data for crystalline GaSnRuRh at its relaxed geometry.

Calculated formation energy = -0.36 eV/atom

a b c (Å): 3.1928 4.4051 4.4382
angles (deg): 90.00 90.00 90.00
Closest atoms and distances in Å follow each position.
Space group Pmmm (No. 47)
One atom of each set of equivalent atoms:
Ga 0.0000 0.0000 0.0000 x1  4 Ru 2.72, 4 Rh 2.73
Sn 0.0000 0.5000 0.5000 x1  4 Rh 2.72, 4 Ru 2.73
Ru 0.5000 0.5000 0.0000 x1  4 Ga 2.72, 4 Sn 2.73
Rh 0.5000 0.0000 0.5000 x1  4 Sn 2.72, 4 Ga 2.73